VASP calculation (PBE-GGA) on a relaxed structure of Rb2LiPaBr6.

The structure in CIF format:
```
data_Rb2LiPaBr6
_chemical_formula_sum 'Rb4 Li2 Pa2 Br12'
_cell_length_a 13.859
_cell_length_b 8.015
_cell_length_c 8.004
_cell_angle_alpha 90.00
_cell_angle_beta 125.27
_cell_angle_gamma 90.00
_space_group_name_H-M_alt 'C 1 2/m 1'
_space_group_IT_number 12
loop_
_space_group_symop_operation_xyz
'x,y,z'
'-x,-y,-z'
'-x,y,-z'
'x,-y,z'
'x+1/2,y+1/2,z'
'-x+1/2,-y+1/2,-z'
'-x+1/2,y+1/2,-z'
'x+1/2,-y+1/2,z'
loop_
_atom_site_label
_atom_site_type_symbol
_atom_site_fract_x
_atom_site_fract_y
_atom_site_fract_z
_atom_site_occupancy
Rb1 Rb 0.249 0.000 0.252 1
Li1 Li 0.000 0.500 0.000 1
Pa1 Pa 0.000 0.000 0.500 1
Br1 Br 0.000 0.257 0.244 1
Br2 Br 0.243 0.500 0.242 1
```

## Properties
For the total magnetization, the calculation gives 3.97 μB/cell. For the formation energy (no corrections), the calculation gives -1.50 eV/atom.